First-principles (GGA+U) data for a relaxed structure of RbMnCr2F8, as listed in Alexandria.

Values from the calculation:
Its final energy is -69.7 eV for the cell shown. The value obtained for the calculated density is 3.62 g/cm3.

a b c (Å): 5.1675 6.8226 5.1721
angles (deg): 90.00 93.18 90.00
Last column: nearest neighbours and their distance in Å.
Atoms (fractional coordinates):
Rb 0.0000 0.0000 0.0000  6 F 2.57-2.60
Mn 0.0000 0.5000 0.0000  6 F 2.12-2.37
Cr 0.5000 0.2601 0.5000  6 F 1.97-2.15
Cr 0.5000 0.7399 0.5000  6 F 1.97-2.15
F 0.2249 0.2953 0.2239  1 Cr 1.97, 1 Mn 2.12
F 0.2249 0.7047 0.2239  1 Cr 1.97, 1 Mn 2.12
F 0.3145 0.5000 0.6844  2 Cr 2.15, 1 Mn 2.37
F 0.3459 0.0000 0.6530  2 Cr 2.12, 1 F 2.31
F 0.6541 0.0000 0.3470  2 Cr 2.12, 1 F 2.31
F 0.6855 0.5000 0.3156  2 Cr 2.15, 1 Mn 2.37
F 0.7751 0.2953 0.7761  1 Cr 1.97, 1 Mn 2.12
F 0.7751 0.7047 0.7761  1 Cr 1.97, 1 Mn 2.12